(1)
! GGA-PBE Rb2ZrPb2, relaxed; values from VASP
&SYSTEM
  ibrav = 0, nat = 10, ntyp = 3
/
ATOMIC_SPECIES
Pb 207.20 Pb.upf
Rb 85.47 Rb.upf
Zr 91.22 Zr.upf
CELL_PARAMETERS angstrom
-0.578 6.881 4.235
-3.561 -4.029 6.059
5.779 -1.139 2.639
ATOMIC_POSITIONS angstrom
Pb -3.049 -1.140 6.185
Pb -2.935 2.756 7.618
Pb -1.090 3.992 4.109
Pb -1.203 0.096 2.677
Rb 0.462 -2.138 5.958
Rb -0.494 0.547 9.211
Rb 1.178 3.851 6.976
Rb 2.134 1.166 3.722
Zr 0.000 0.000 0.000
Zr -2.069 1.426 5.147
! energy of formation	0.227	eV per atom
! E	-33.5	eV/cell

(2)
! GGA-PBE RbZrPb3, relaxed; values from VASP
&SYSTEM
  ibrav = 0, nat = 5, ntyp = 3
/
ATOMIC_SPECIES
Pb 207.20 Pb.upf
Rb 85.47 Rb.upf
Zr 91.22 Zr.upf
CELL_PARAMETERS angstrom
-3.434 0.048 4.629
4.488 -1.377 3.344
1.133 5.597 0.783
ATOMIC_POSITIONS angstrom
Pb 2.244 -0.688 1.672
Pb 0.567 2.798 0.391
Pb -1.717 0.024 2.314
Rb 1.094 2.134 4.378
Zr 0.000 0.000 0.000
! energy of formation	0.000	eV per atom
! E	-20.6	eV/cell
! ΔE to the lowest computed polymorph	0.00	eV/f.u.

(3)
! GGA-PBE Rb2Zr2Pb, relaxed; values from VASP
&SYSTEM
  ibrav = 0, nat = 10, ntyp = 3
/
ATOMIC_SPECIES
Pb 207.20 Pb.upf
Rb 85.47 Rb.upf
Zr 91.22 Zr.upf
CELL_PARAMETERS angstrom
10.974 0.000 0.000
0.000 10.974 0.000
0.000 0.000 3.151
ATOMIC_POSITIONS angstrom
Pb 0.000 0.000 0.000
Pb 5.487 5.487 0.000
Rb 4.241 9.728 0.000
Rb 9.728 6.733 0.000
Rb 6.733 1.246 0.000
Rb 1.246 4.241 0.000
Zr 2.088 7.575 1.575
Zr 7.575 8.885 1.575
Zr 8.885 3.399 1.575
Zr 3.399 2.088 1.575
! energy of formation	1.415	eV per atom
! E	-31.3	eV/cell
! ΔE to the lowest computed polymorph	3.98	eV/f.u.

(4)
! GGA-PBE RbZrPb3, relaxed; values from VASP
&SYSTEM
  ibrav = 0, nat = 5, ntyp = 3
/
ATOMIC_SPECIES
Pb 207.20 Pb.upf
Rb 85.47 Rb.upf
Zr 91.22 Zr.upf
CELL_PARAMETERS angstrom
5.840 0.000 0.000
0.000 5.840 0.000
0.000 0.000 5.840
ATOMIC_POSITIONS angstrom
Pb 0.000 2.920 0.000
Pb 0.000 0.000 2.920
Pb 2.920 0.000 0.000
Rb 0.000 0.000 0.000
Zr 2.920 2.920 2.920
! energy of formation	1.526	eV per atom
! E	-13.0	eV/cell
! ΔE to the lowest computed polymorph	7.63	eV/f.u.

(5)
! GGA-PBE Rb2Zr2Pb, relaxed; values from VASP
&SYSTEM
  ibrav = 0, nat = 5, ntyp = 3
/
ATOMIC_SPECIES
Pb 207.20 Pb.upf
Rb 85.47 Rb.upf
Zr 91.22 Zr.upf
CELL_PARAMETERS angstrom
3.951 0.000 0.000
0.000 3.951 0.000
1.976 1.976 13.083
ATOMIC_POSITIONS angstrom
Pb 0.000 0.000 0.000
Rb 1.976 1.976 2.825
Rb 3.951 3.951 10.258
Zr 3.951 1.976 6.542
Zr 1.976 3.951 6.542
! energy of formation	0.620	eV per atom
! E	-19.6	eV/cell
! ΔE to the lowest computed polymorph	0.00	eV/f.u.

(6)
! GGA-PBE RbZrPb2, relaxed; values from VASP
&SYSTEM
  ibrav = 0, nat = 4, ntyp = 3
/
ATOMIC_SPECIES
Pb 207.20 Pb.upf
Rb 85.47 Rb.upf
Zr 91.22 Zr.upf
CELL_PARAMETERS angstrom
-2.837 -4.776 0.310
-4.275 -0.924 -3.438
0.461 -3.778 -4.058
ATOMIC_POSITIONS angstrom
Pb -1.663 -2.370 -1.797
Pb -4.989 -7.109 -5.390
Rb 0.000 0.000 0.000
Zr -3.326 -4.739 -3.593
! energy of formation	0.384	eV per atom
! E	-15.4	eV/cell
! ΔE to the lowest computed polymorph	1.72	eV/f.u.

(7)
! GGA-PBE RbZrPb2, relaxed; values from VASP
&SYSTEM
  ibrav = 0, nat = 8, ntyp = 3
/
ATOMIC_SPECIES
Pb 207.20 Pb.upf
Rb 85.47 Rb.upf
Zr 91.22 Zr.upf
CELL_PARAMETERS angstrom
-1.012 4.137 -4.950
-6.382 -1.372 0.159
-5.039 8.329 3.685
ATOMIC_POSITIONS angstrom
Pb -2.887 5.302 -3.116
Pb -6.191 5.074 -3.585
Pb -5.310 7.551 0.936
Pb -5.109 9.771 -1.556
Rb -3.697 1.383 -2.395
Rb -7.559 4.170 0.724
Zr 0.000 0.000 0.000
Zr -4.874 6.925 -1.830
! energy of formation	0.331	eV per atom
! E	-31.2	eV/cell
! ΔE to the lowest computed polymorph	1.51	eV/f.u.

(8)
! GGA-PBE RbZr2Pb, relaxed; values from VASP
&SYSTEM
  ibrav = 0, nat = 8, ntyp = 3
/
ATOMIC_SPECIES
Pb 207.20 Pb.upf
Rb 85.47 Rb.upf
Zr 91.22 Zr.upf
CELL_PARAMETERS angstrom
8.870 0.000 0.000
0.000 8.870 0.000
4.435 4.435 3.239
ATOMIC_POSITIONS angstrom
Pb 0.000 0.000 0.000
Pb 8.870 4.435 1.620
Rb 4.435 4.435 0.000
Rb 4.435 8.870 1.620
Zr 7.049 2.218 0.810
Zr 1.822 6.653 0.810
Zr 6.653 6.257 2.430
Zr 11.088 11.484 2.430
! energy of formation	0.969	eV per atom
! E	-35.8	eV/cell

(9)
! GGA-PBE RbZr2Pb2, relaxed; values from VASP
&SYSTEM
  ibrav = 0, nat = 10, ntyp = 3
/
ATOMIC_SPECIES
Pb 207.20 Pb.upf
Rb 85.47 Rb.upf
Zr 91.22 Zr.upf
CELL_PARAMETERS angstrom
-4.186 1.743 8.120
-1.648 -9.087 1.100
2.852 -0.331 1.541
ATOMIC_POSITIONS angstrom
Pb -0.397 -5.966 2.899
Pb -2.750 -6.527 7.132
Pb -2.586 -1.709 7.863
Pb -0.233 -1.147 3.629
Rb 0.000 0.000 0.000
Rb -2.917 -3.672 4.610
Zr -3.053 -7.348 4.072
Zr -4.711 -4.079 7.842
Zr -2.782 0.004 5.148
Zr -1.124 -3.265 1.379
! energy of formation	0.039	eV per atom
! E	-50.6	eV/cell
! ΔE to the lowest computed polymorph	0.00	eV/f.u.

(10)
! GGA-PBE Rb2ZrPb4, relaxed; values from VASP
&SYSTEM
  ibrav = 0, nat = 7, ntyp = 3
/
ATOMIC_SPECIES
Pb 207.20 Pb.upf
Rb 85.47 Rb.upf
Zr 91.22 Zr.upf
CELL_PARAMETERS angstrom
5.770 0.000 0.000
0.000 5.770 0.000
2.885 2.885 9.432
ATOMIC_POSITIONS angstrom
Pb 5.770 5.770 2.837
Pb 2.885 2.885 6.594
Pb 0.000 2.885 0.000
Pb 2.885 0.000 0.000
Rb 5.770 5.770 6.625
Rb 2.885 2.885 2.806
Zr 0.000 0.000 0.000
! energy of formation	0.096	eV per atom
! E	-24.6	eV/cell

(11)
! GGA-PBE RbZr3Pb, relaxed; values from VASP
&SYSTEM
  ibrav = 0, nat = 5, ntyp = 3
/
ATOMIC_SPECIES
Pb 207.20 Pb.upf
Rb 85.47 Rb.upf
Zr 91.22 Zr.upf
CELL_PARAMETERS angstrom
5.094 0.000 0.000
0.000 5.094 0.000
0.000 0.000 5.094
ATOMIC_POSITIONS angstrom
Pb 2.547 2.547 2.547
Rb 0.000 0.000 0.000
Zr 0.000 2.547 0.000
Zr 0.000 0.000 2.547
Zr 2.547 0.000 0.000
! energy of formation	1.877	eV per atom
! E	-20.9	eV/cell
! ΔE to the lowest computed polymorph	3.19	eV/f.u.

(12)
! GGA-PBE RbZrPb2, relaxed; values from VASP
&SYSTEM
  ibrav = 0, nat = 4, ntyp = 3
/
ATOMIC_SPECIES
Pb 207.20 Pb.upf
Rb 85.47 Rb.upf
Zr 91.22 Zr.upf
CELL_PARAMETERS angstrom
3.512 0.000 0.000
1.756 3.042 0.000
1.756 1.014 11.296
ATOMIC_POSITIONS angstrom
Pb 5.269 3.042 8.794
Pb 1.756 1.014 2.503
Rb 3.512 2.028 5.648
Zr 0.000 0.000 0.000
! energy of formation	0.016	eV per atom
! E	-16.9	eV/cell
! ΔE to the lowest computed polymorph	0.25	eV/f.u.

(13)
! GGA-PBE RePb, relaxed; values from VASP
&SYSTEM
  ibrav = 0, nat = 8, ntyp = 2
/
ATOMIC_SPECIES
Re 186.21 Re.upf
Pb 207.20 Pb.upf
CELL_PARAMETERS angstrom
2.129 -3.687 0.000
2.129 3.687 0.000
0.000 0.000 13.339
ATOMIC_POSITIONS angstrom
Re 0.000 0.000 3.335
Re 0.000 0.000 10.004
Re 2.129 1.229 10.004
Re 2.129 -1.229 3.335
Pb 2.129 1.229 1.353
Pb 2.129 -1.229 8.023
Pb 2.129 -1.229 11.986
Pb 2.129 1.229 5.317
! energy of formation	0.693	eV per atom
! E	-59.1	eV/cell
! ΔE to the lowest computed polymorph	0.62	eV/f.u.

(14)
! GGA-PBE RePb, relaxed; values from VASP
&SYSTEM
  ibrav = 0, nat = 12, ntyp = 2
/
ATOMIC_SPECIES
Re 186.21 Re.upf
Pb 207.20 Pb.upf
CELL_PARAMETERS angstrom
12.309 0.000 0.000
0.000 3.099 0.000
0.000 0.000 6.996
ATOMIC_POSITIONS angstrom
Re 11.130 1.528 4.107
Re 7.333 1.571 0.609
Re 1.179 1.528 4.107
Re 4.976 1.571 0.609
Re 0.000 3.080 2.284
Re 6.155 0.019 5.782
Pb 9.524 0.005 1.848
Pb 8.940 3.094 5.346
Pb 2.786 0.005 1.848
Pb 3.369 3.094 5.346
Pb 0.000 1.532 6.808
Pb 6.155 1.567 3.310
! energy of formation	0.736	eV per atom
! E	-88.1	eV/cell
! ΔE to the lowest computed polymorph	0.70	eV/f.u.

(15)
! GGA-PBE Re3Pb2, relaxed; values from VASP
&SYSTEM
  ibrav = 0, nat = 5, ntyp = 2
/
ATOMIC_SPECIES
Re 186.21 Re.upf
Pb 207.20 Pb.upf
CELL_PARAMETERS angstrom
-0.637 2.957 0.280
-2.120 -1.921 -1.022
-3.636 -1.823 10.975
ATOMIC_POSITIONS angstrom
Re 0.000 0.000 0.000
Re -3.251 0.269 6.242
Re -3.143 -1.055 3.991
Pb -1.873 0.959 2.085
Pb -4.521 -1.746 8.149
! energy of formation	0.991	eV per atom
! E	-39.8	eV/cell
! ΔE to the lowest computed polymorph	0.54	eV/f.u.

(16)
! GGA-PBE Re2Pb, relaxed; values from VASP
&SYSTEM
  ibrav = 0, nat = 12, ntyp = 2
/
ATOMIC_SPECIES
Pb 207.20 Pb.upf
Re 186.21 Re.upf
CELL_PARAMETERS angstrom
-3.654 -3.921 -0.747
3.037 0.052 4.479
-6.100 4.907 4.079
ATOMIC_POSITIONS angstrom
Pb 0.414 -0.957 2.999
Pb -4.866 0.172 3.297
Pb -7.132 1.995 4.812
Pb -1.851 0.866 4.514
Re 0.000 0.000 0.000
Re -3.050 2.454 2.039
Re -2.563 -1.979 3.324
Re -4.154 3.017 4.487
Re -2.268 -0.128 1.539
Re -4.016 -2.004 1.182
Re -2.702 3.041 6.629
Re -4.449 1.166 6.272
! energy of formation	0.803	eV per atom
! E	-104.8	eV/cell
! ΔE to the lowest computed polymorph	0.95	eV/f.u.

(17)
! GGA-PBE RePb5, relaxed; values from VASP
&SYSTEM
  ibrav = 0, nat = 6, ntyp = 2
/
ATOMIC_SPECIES
Re 186.21 Re.upf
Pb 207.20 Pb.upf
CELL_PARAMETERS angstrom
3.037 3.130 4.325
-5.645 1.756 -1.668
-2.376 -3.587 4.265
ATOMIC_POSITIONS angstrom
Re 0.000 0.000 0.000
Pb -2.751 2.214 0.329
Pb 0.143 2.672 2.327
Pb 0.331 -0.228 4.295
Pb -4.011 -0.916 1.298
Pb -2.492 0.649 3.461
! energy of formation	1.122	eV per atom
! E	-24.3	eV/cell
! ΔE to the lowest computed polymorph	4.00	eV/f.u.

(18)
! GGA-PBE Re5Pb, relaxed; values from VASP
&SYSTEM
  ibrav = 0, nat = 6, ntyp = 2
/
ATOMIC_SPECIES
Re 186.21 Re.upf
Pb 207.20 Pb.upf
CELL_PARAMETERS angstrom
1.443 -7.540 0.000
1.443 7.540 0.000
0.000 0.000 4.486
ATOMIC_POSITIONS angstrom
Re 1.443 2.620 0.000
Re 1.443 -2.685 0.000
Re 1.443 1.033 2.243
Re 1.443 -4.175 2.243
Re 1.443 5.743 2.243
Pb 1.443 7.518 0.000
! energy of formation	0.489	eV per atom
! E	-63.0	eV/cell
! ΔE to the lowest computed polymorph	0.02	eV/f.u.

(19)
! GGA-PBE RePb8, relaxed; values from VASP
&SYSTEM
  ibrav = 0, nat = 9, ntyp = 2
/
ATOMIC_SPECIES
Re 186.21 Re.upf
Pb 207.20 Pb.upf
CELL_PARAMETERS angstrom
-3.232 -4.673 5.112
4.449 6.187 -0.593
-6.475 3.477 -2.098
ATOMIC_POSITIONS angstrom
Re 0.000 0.000 0.000
Pb -0.572 -0.912 3.136
Pb 1.788 2.425 1.383
Pb -1.405 6.702 -1.866
Pb -4.064 2.933 0.112
Pb -6.732 -0.830 2.090
Pb -1.195 2.058 2.309
Pb -0.621 2.961 -0.825
Pb -2.975 -0.367 0.924
! energy of formation	0.375	eV per atom
! E	-38.7	eV/cell

(20)
! GGA-PBE RePb4, relaxed; values from VASP
&SYSTEM
  ibrav = 0, nat = 5, ntyp = 2
/
ATOMIC_SPECIES
Re 186.21 Re.upf
Pb 207.20 Pb.upf
CELL_PARAMETERS angstrom
-3.516 3.516 2.639
3.516 -3.516 2.639
3.516 3.516 -2.639
ATOMIC_POSITIONS angstrom
Re 0.000 0.000 0.000
Pb -0.932 2.113 2.639
Pb 1.403 2.584 0.000
Pb 4.448 1.403 0.000
Pb 2.113 0.932 2.639
! energy of formation	0.771	eV per atom
! E	-23.4	eV/cell
! ΔE to the lowest computed polymorph	0.73	eV/f.u.

(21)
! GGA-PBE Re5Pb, relaxed; values from VASP
&SYSTEM
  ibrav = 0, nat = 6, ntyp = 2
/
ATOMIC_SPECIES
Re 186.21 Re.upf
Pb 207.20 Pb.upf
CELL_PARAMETERS angstrom
2.450 -4.244 0.000
2.450 4.244 0.000
0.000 0.000 4.619
ATOMIC_POSITIONS angstrom
Re 1.610 -2.788 0.000
Re 1.681 0.000 0.000
Re 1.610 2.788 0.000
Re 2.450 -1.415 2.310
Re 2.450 1.415 2.310
Pb 0.000 0.000 2.310
! energy of formation	0.548	eV per atom
! E	-62.7	eV/cell
! ΔE to the lowest computed polymorph	0.38	eV/f.u.

(22)
! GGA-PBE RePb, relaxed; values from VASP
&SYSTEM
  ibrav = 0, nat = 6, ntyp = 2
/
ATOMIC_SPECIES
Re 186.21 Re.upf
Pb 207.20 Pb.upf
CELL_PARAMETERS angstrom
1.545 -4.386 1.478
2.004 -2.276 3.822
-7.278 -4.315 5.308
ATOMIC_POSITIONS angstrom
Re -2.989 -7.372 7.220
Re -1.156 -9.090 8.407
Re -4.821 -5.654 6.032
Pb -3.689 -10.804 10.446
Pb -2.287 -3.941 3.994
Pb 0.651 -5.216 4.567
! energy of formation	0.549	eV per atom
! E	-45.2	eV/cell
! ΔE to the lowest computed polymorph	0.33	eV/f.u.

(23)
! GGA-PBE Re3Pb2, relaxed; values from VASP
&SYSTEM
  ibrav = 0, nat = 5, ntyp = 2
/
ATOMIC_SPECIES
Re 186.21 Re.upf
Pb 207.20 Pb.upf
CELL_PARAMETERS angstrom
12.051 -1.506 0.017
12.051 1.506 0.017
11.859 0.000 2.617
ATOMIC_POSITIONS angstrom
Re 0.000 0.000 0.000
Re 28.993 0.000 2.137
Re 6.968 0.000 0.514
Pb 14.413 0.000 1.063
Pb 21.548 0.000 1.589
! energy of formation	0.980	eV per atom
! E	-39.9	eV/cell
! ΔE to the lowest computed polymorph	0.49	eV/f.u.

(24)
! GGA-PBE RePb, relaxed; values from VASP
&SYSTEM
  ibrav = 0, nat = 16, ntyp = 2
/
ATOMIC_SPECIES
Re 186.21 Re.upf
Pb 207.20 Pb.upf
CELL_PARAMETERS angstrom
10.782 0.000 0.000
0.000 10.782 0.000
0.000 0.000 3.035
ATOMIC_POSITIONS angstrom
Re 0.388 6.600 1.517
Re 10.394 4.182 1.517
Re 4.182 0.388 1.517
Re 6.600 10.394 1.517
Re 9.120 5.976 0.000
Re 1.662 4.806 0.000
Re 4.806 9.120 0.000
Re 5.976 1.662 0.000
Pb 7.324 3.935 1.517
Pb 3.458 6.848 1.517
Pb 6.848 7.324 1.517
Pb 3.935 3.458 1.517
Pb 9.270 9.016 0.000
Pb 1.512 1.766 0.000
Pb 1.766 9.270 0.000
Pb 9.016 1.512 0.000
! energy of formation	0.642	eV per atom
! E	-119.0	eV/cell
! ΔE to the lowest computed polymorph	0.52	eV/f.u.

(25)
! GGA-PBE RePb, relaxed; values from VASP
&SYSTEM
  ibrav = 0, nat = 4, ntyp = 2
/
ATOMIC_SPECIES
Pb 207.20 Pb.upf
Re 186.21 Re.upf
CELL_PARAMETERS angstrom
6.571 0.041 -0.018
3.921 5.273 0.018
-4.713 -3.710 2.685
ATOMIC_POSITIONS angstrom
Pb 3.485 2.256 0.676
Pb 2.295 -0.652 2.009
Re 5.594 0.037 0.658
Re 0.185 1.567 2.027
! energy of formation	0.935	eV per atom
! E	-28.6	eV/cell
! ΔE to the lowest computed polymorph	1.10	eV/f.u.

(26)
! GGA-PBE RePb, relaxed; values from VASP
&SYSTEM
  ibrav = 0, nat = 4, ntyp = 2
/
ATOMIC_SPECIES
Pb 207.20 Pb.upf
Re 186.21 Re.upf
CELL_PARAMETERS angstrom
-2.313 0.259 -3.659
-2.773 -2.346 1.587
-3.797 2.908 2.607
ATOMIC_POSITIONS angstrom
Pb -3.863 0.277 -1.392
Pb -5.021 0.544 1.928
Re -5.245 2.619 -0.353
Re -3.639 -1.798 0.888
! energy of formation	0.865	eV per atom
! E	-28.9	eV/cell
! ΔE to the lowest computed polymorph	0.96	eV/f.u.